Entry 1:
Below is a relaxed HfTlS2 crystal, with properties calculated at the PBE-GGA level.

Properties
Energy, eV/cell: -48.55
Symmetry: Cc (9)
Formation energy (no corrections), eV per atom: -0.93
Size of the total moment, μB per cell: 0.00

abc: 16.9683 7.1587 7.1587
angles: 83.81 130.25 49.75
Positions (direct):
S1 0.0971 0.9862 0.9890
Hf1 0.3390 0.8830 0.3727
Hf2 0.8390 0.1273 0.6170
S2 0.5971 0.5110 0.5138
Tl1 0.7478 0.8275 0.8965
S3 0.3334 0.1166 0.6041
Tl2 0.2478 0.6035 0.6725
S4 0.8334 0.8959 0.3834

Entry 2:
Below is a relaxed SrYMg4 crystal, with properties calculated at the PBE-GGA level.

Properties
Energy, eV/cell: -14.94
Symmetry: F-43m (216)
Energy of formation from the pure elements, eV/atom: -0.0700
Size of the total moment, μB per cell: 0.00

abc: 6.2224 6.2224 6.2224
angles: 60.00 60.00 60.00
Positions (direct):
Mg1 0.6260 0.1220 0.6260
Y1 0.0000 0.0000 0.0000
Sr1 0.2500 0.2500 0.2500
Mg2 0.1220 0.6260 0.6260
Mg3 0.6260 0.6260 0.1220
Mg4 0.6260 0.6260 0.6260

Entry 3:
Below is a relaxed Cr2HIr crystal, with properties calculated at the PBE-GGA level.

Properties
Energy, eV/cell: -59.07
Symmetry: I-42d (122)
Size of the total moment, μB per cell: 0.00

abc: 4.3689 4.3689 5.7672
angles: 67.74 67.74 90.00
Positions (direct):
H1 0.5000 0.5000 0.0000
Cr1 0.4734 0.1250 0.2500
Cr2 0.2766 0.6250 0.2500
Cr3 0.8750 0.7234 0.7500
Cr4 0.3750 0.5266 0.7500
H2 0.2500 0.7500 0.5000
Ir1 0.7500 0.2500 0.5000
Ir2 0.0000 0.0000 0.0000

Entry 4:
Below is a relaxed Tl5Ru3 crystal, with properties calculated at the PBE-GGA level.

Properties
Energy, eV/cell: -71.89
Symmetry: P1 (1)
Energy of formation from the pure elements, eV/atom: 0.4641
Size of the total moment, μB per cell: 0.00

abc: 8.0940 7.8125 7.3546
angles: 95.30 83.94 127.70
Positions (direct):
Tl1 0.3750 0.6401 0.1131
Tl2 0.7241 0.5161 0.3063
Tl3 0.7560 0.2036 0.5926
Tl4 0.9069 0.9332 0.6590
Ru1 0.3734 0.1783 0.6129
Tl5 0.2714 0.9171 0.9470
Tl6 0.4112 0.5640 0.5906
Ru2 0.4825 0.0464 0.3148
Tl7 0.6600 0.4698 0.8722
Tl8 0.1491 0.7190 0.5228
Ru3 0.0850 0.4802 0.8255
Tl9 0.8136 0.1883 0.0734
Ru4 0.7103 0.8779 0.3377
Ru5 0.8890 0.8734 0.0390
Tl10 0.1888 0.1421 0.2884
Ru6 0.1968 0.2506 0.9048

Q: Look up the size of the total moment of the third one.
A: 0.00 μB per cell

Q: The lowest energy belongs to which entry?
A: Tl5Ru3

Q: energy of number 2 (SrYMg4)?
A: -14.94 eV/cell

Copy entry 2 word for word.
Below is a relaxed SrYMg4 crystal, with properties calculated at the PBE-GGA level.

Properties
Energy, eV/cell: -14.94
Symmetry: F-43m (216)
Energy of formation from the pure elements, eV/atom: -0.0700
Size of the total moment, μB per cell: 0.00

abc: 6.2224 6.2224 6.2224
angles: 60.00 60.00 60.00
Positions (direct):
Mg1 0.6260 0.1220 0.6260
Y1 0.0000 0.0000 0.0000
Sr1 0.2500 0.2500 0.2500
Mg2 0.1220 0.6260 0.6260
Mg3 0.6260 0.6260 0.1220
Mg4 0.6260 0.6260 0.6260